1.
The following is a PBE calculation of a relaxed CaRe2N crystal, from the Alexandria database.

Cell and atoms, written as CIF:
```
data_CaRe2N
_chemical_formula_sum 'Ca2 Re4 N2'
_symmetry_space_group_name_H-M 'P 1'
_symmetry_Int_Tables_number 1
_cell_length_a 5.2098
_cell_length_b 5.2098
_cell_length_c 6.9967
_cell_angle_alpha 68.14
_cell_angle_beta 68.14
_cell_angle_gamma 90.00
loop_
_symmetry_equiv_pos_as_xyz
'x,y,z'
loop_
_atom_site_label
_atom_site_type_symbol
_atom_site_fract_x
_atom_site_fract_y
_atom_site_fract_z
Ca1 Ca 0.0000 0.0000 0.0000
Re1 Re 0.3751 0.1250 0.2500
Ca2 Ca 0.7500 0.2500 0.5000
N1 N 0.2500 0.7500 0.5000
Re2 Re 0.3750 0.6249 0.7500
N2 N 0.5000 0.5000 0.0000
Re3 Re 0.8750 0.6251 0.7500
Re4 Re 0.3749 0.6250 0.2500
```

For the magnetization, the calculation gives 0.00 μB per atom. The value obtained for the uncorrected formation energy is 0.71 eV/atom. As for the volume: 80.7 Å³/f.u.


2.
The following is a PBE calculation of a relaxed ReC2 crystal, from the Alexandria database.

Cell and atoms, written as CIF:
```
data_ReC2
_chemical_formula_sum 'Re2 C4'
_symmetry_space_group_name_H-M 'P 1'
_symmetry_Int_Tables_number 1
_cell_length_a 3.9365
_cell_length_b 3.9365
_cell_length_c 4.1160
_cell_angle_alpha 90.00
_cell_angle_beta 90.00
_cell_angle_gamma 120.00
loop_
_symmetry_equiv_pos_as_xyz
'x,y,z'
loop_
_atom_site_label
_atom_site_type_symbol
_atom_site_fract_x
_atom_site_fract_y
_atom_site_fract_z
C1 C 0.6667 0.3333 0.7500
C2 C 0.0000 0.0000 0.5000
Re1 Re 0.3333 0.6667 0.7500
C3 C 0.0000 0.0000 0.0000
Re2 Re 0.6667 0.3333 0.2500
C4 C 0.3333 0.6667 0.2500
```

The calculation puts the energy above the most stable polymorph in this dataset at 4.909 eV/f.u. For the magnetization, the calculation gives 0.00 μB per atom. As for the volume: 27.6 Å³/f.u. The value obtained for the calculated formation energy is 2076 meV per atom.


3.
The following is a PBE calculation of a relaxed NdHo2Ru crystal, from the Alexandria database.

Cell and atoms, written as CIF:
```
data_NdHo2Ru
_chemical_formula_sum 'Nd4 Ho8 Ru4'
_symmetry_space_group_name_H-M 'P 1'
_symmetry_Int_Tables_number 1
_cell_length_a 6.3991
_cell_length_b 7.3397
_cell_length_c 9.2500
_cell_angle_alpha 90.00
_cell_angle_beta 90.00
_cell_angle_gamma 90.00
loop_
_symmetry_equiv_pos_as_xyz
'x,y,z'
loop_
_atom_site_label
_atom_site_type_symbol
_atom_site_fract_x
_atom_site_fract_y
_atom_site_fract_z
Nd1 Nd 0.1329 0.9596 0.7500
Ru1 Ru 0.0520 0.3858 0.2500
Ho1 Ho 0.8329 0.3238 0.5662
Nd2 Nd 0.3671 0.4596 0.7500
Ho2 Ho 0.1671 0.6762 0.4338
Nd3 Nd 0.8671 0.0404 0.2500
Nd4 Nd 0.6329 0.5404 0.2500
Ru2 Ru 0.9480 0.6142 0.7500
Ru3 Ru 0.5520 0.1142 0.7500
Ho3 Ho 0.3329 0.1762 0.4338
Ru4 Ru 0.4480 0.8858 0.2500
Ho4 Ho 0.3329 0.1762 0.0662
Ho5 Ho 0.1671 0.6762 0.0662
Ho6 Ho 0.8329 0.3238 0.9338
Ho7 Ho 0.6671 0.8238 0.5662
Ho8 Ho 0.6671 0.8238 0.9338
```

The calculation puts the energy above the most stable polymorph in this dataset at 0.000 eV/f.u. For the magnetization, the calculation gives 0.00 μB per atom. As for the volume: 108.6 Å³/f.u. The value obtained for the calculated formation energy is -287 meV per atom.


4.
The following is a PBE calculation of a relaxed CeYTe crystal, from the Alexandria database.

Cell and atoms, written as CIF:
```
data_CeYTe
_chemical_formula_sum 'Ce1 Y1 Te1'
_symmetry_space_group_name_H-M 'P 1'
_symmetry_Int_Tables_number 1
_cell_length_a 3.9017
_cell_length_b 5.2107
_cell_length_c 5.2107
_cell_angle_alpha 120.00
_cell_angle_beta 90.00
_cell_angle_gamma 90.00
loop_
_symmetry_equiv_pos_as_xyz
'x,y,z'
loop_
_atom_site_label
_atom_site_type_symbol
_atom_site_fract_x
_atom_site_fract_y
_atom_site_fract_z
Y1 Y 0.5003 0.6667 0.3333
Ce1 Ce 0.0004 0.0000 0.0000
Te1 Te 0.4993 0.3333 0.6667
```

The calculation puts the energy above the most stable polymorph in this dataset at 1.192 eV/f.u. For the magnetization, the calculation gives 0.77 μB per atom. The value obtained for the uncorrected formation energy is -0.50 eV/atom. As for the volume: 91.7 Å³/f.u.


5.
The following is a PBE calculation of a relaxed CsK10Na3 crystal, from the Alexandria database.

Cell and atoms, written as CIF:
```
data_CsK10Na3
_chemical_formula_sum 'Cs2 K20 Na6'
_symmetry_space_group_name_H-M 'P 1'
_symmetry_Int_Tables_number 1
_cell_length_a 14.1668
_cell_length_b 14.1668
_cell_length_c 14.1668
_cell_angle_alpha 60.00
_cell_angle_beta 60.00
_cell_angle_gamma 60.00
loop_
_symmetry_equiv_pos_as_xyz
'x,y,z'
loop_
_atom_site_label
_atom_site_type_symbol
_atom_site_fract_x
_atom_site_fract_y
_atom_site_fract_z
K1 K 0.3420 0.0000 0.0000
Na1 Na 0.2701 0.7299 0.7299
Na2 Na 0.7299 0.2701 0.2701
K2 K 0.0000 0.3420 0.6580
K3 K 0.0000 0.3420 0.0000
Na3 Na 0.2701 0.2701 0.7299
K4 K 0.6165 0.1504 0.6165
Na4 Na 0.7299 0.7299 0.2701
K5 K 0.3420 0.6580 0.0000
K6 K 0.3420 0.0000 0.6580
K7 K 0.0000 0.6580 0.0000
K8 K 0.0000 0.0000 0.6580
K9 K 0.6580 0.0000 0.0000
K10 K 0.6580 0.0000 0.3420
K11 K 0.0000 0.0000 0.3420
K12 K 0.0000 0.6580 0.3420
Cs1 Cs 0.2500 0.2500 0.2500
K13 K 0.3835 0.8496 0.3835
K14 K 0.3835 0.3835 0.3835
K15 K 0.6580 0.3420 0.0000
Na5 Na 0.7299 0.2701 0.7299
K16 K 0.8496 0.3835 0.3835
K17 K 0.6165 0.6165 0.6165
Cs2 Cs 0.7500 0.7500 0.7500
Na6 Na 0.2701 0.7299 0.2701
K18 K 0.3835 0.3835 0.8496
K19 K 0.6165 0.6165 0.1504
K20 K 0.1504 0.6165 0.6165
```

For the magnetization, the calculation gives 0.00 μB per atom. As for the volume: 1005.3 Å³/f.u. The value obtained for the calculated formation energy is 46 meV per atom.


6.
The following is a PBE calculation of a relaxed MnRuCl2 crystal, from the Alexandria database.

Cell and atoms, written as CIF:
```
data_MnRuCl2
_chemical_formula_sum 'Mn1 Ru1 Cl2'
_symmetry_space_group_name_H-M 'P 1'
_symmetry_Int_Tables_number 1
_cell_length_a 7.9834
_cell_length_b 7.9834
_cell_length_c 7.9834
_cell_angle_alpha 22.62
_cell_angle_beta 22.62
_cell_angle_gamma 22.62
loop_
_symmetry_equiv_pos_as_xyz
'x,y,z'
loop_
_atom_site_label
_atom_site_type_symbol
_atom_site_fract_x
_atom_site_fract_y
_atom_site_fract_z
Mn1 Mn 0.2500 0.2500 0.2500
Cl1 Cl 0.9924 0.9924 0.9924
Cl2 Cl 0.5076 0.5076 0.5076
Ru1 Ru 0.7500 0.7500 0.7500
```

The calculation puts the energy above the most stable polymorph in this dataset at 1.889 eV/f.u. For the magnetization, the calculation gives 0.44 μB per atom. The value obtained for the uncorrected formation energy is 0.32 eV/atom. As for the volume: 66.1 Å³/f.u.


7.
The following is a PBE calculation of a relaxed PmNiTe2 crystal, from the Alexandria database.

Cell and atoms, written as CIF:
```
data_PmNiTe2
_chemical_formula_sum 'Pm1 Ni1 Te2'
_symmetry_space_group_name_H-M 'P 1'
_symmetry_Int_Tables_number 1
_cell_length_a 3.7596
_cell_length_b 3.7596
_cell_length_c 9.3716
_cell_angle_alpha 78.43
_cell_angle_beta 78.43
_cell_angle_gamma 60.00
loop_
_symmetry_equiv_pos_as_xyz
'x,y,z'
loop_
_atom_site_label
_atom_site_type_symbol
_atom_site_fract_x
_atom_site_fract_y
_atom_site_fract_z
Te1 Te 0.8856 0.8856 0.3432
Pm1 Pm 0.0000 0.0000 0.0000
Ni1 Ni 0.5000 0.5000 0.5000
Te2 Te 0.1144 0.1144 0.6568
```

For the magnetization, the calculation gives 0.00 μB per atom. The value obtained for the uncorrected formation energy is -0.21 eV/atom. As for the volume: 111.6 Å³/f.u.


8.
The following is a PBE calculation of a relaxed SmDy4Tm crystal, from the Alexandria database.

Cell and atoms, written as CIF:
```
data_SmDy4Tm
_chemical_formula_sum 'Sm1 Dy4 Tm1'
_symmetry_space_group_name_H-M 'P 1'
_symmetry_Int_Tables_number 1
_cell_length_a 6.5536
_cell_length_b 6.5536
_cell_length_c 6.5536
_cell_angle_alpha 60.00
_cell_angle_beta 60.00
_cell_angle_gamma 60.00
loop_
_symmetry_equiv_pos_as_xyz
'x,y,z'
loop_
_atom_site_label
_atom_site_type_symbol
_atom_site_fract_x
_atom_site_fract_y
_atom_site_fract_z
Dy1 Dy 0.6252 0.6251 0.6251
Dy2 Dy 0.1246 0.6251 0.6251
Dy3 Dy 0.6252 0.1246 0.6251
Tm1 Tm 0.0000 0.0000 0.0000
Dy4 Dy 0.6252 0.6251 0.1246
Sm1 Sm 0.2500 0.2500 0.2500
```

The calculation puts the energy above the most stable polymorph in this dataset at 1.611 eV/f.u. For the magnetization, the calculation gives 0.01 μB per atom. As for the volume: 199.0 Å³/f.u. The value obtained for the calculated formation energy is 269 meV per atom.


9.
The following is a PBE calculation of a relaxed BTe3Rh crystal, from the Alexandria database.

Cell and atoms, written as CIF:
```
data_BTe3Rh
_chemical_formula_sum 'B1 Te3 Rh1'
_symmetry_space_group_name_H-M 'P 1'
_symmetry_Int_Tables_number 1
_cell_length_a 5.2283
_cell_length_b 5.2283
_cell_length_c 5.2283
_cell_angle_alpha 90.00
_cell_angle_beta 90.00
_cell_angle_gamma 90.00
loop_
_symmetry_equiv_pos_as_xyz
'x,y,z'
loop_
_atom_site_label
_atom_site_type_symbol
_atom_site_fract_x
_atom_site_fract_y
_atom_site_fract_z
Te1 Te 0.5000 0.0000 0.0000
B1 B 0.5000 0.5000 0.5000
Te2 Te 0.0000 0.0000 0.5000
Te3 Te 0.0000 0.5000 0.0000
Rh1 Rh 0.0000 0.0000 0.0000
```

The calculation puts the energy above the most stable polymorph in this dataset at 1.321 eV/f.u. For the magnetization, the calculation gives 0.00 μB per atom. The value obtained for the uncorrected formation energy is 1.20 eV/atom. As for the volume: 142.9 Å³/f.u.


10.
The following is a PBE calculation of a relaxed Na2TlNiCl6 crystal, from the Alexandria database.

Cell and atoms, written as CIF:
```
data_Na2TlNiCl6
_chemical_formula_sum 'Na2 Tl1 Ni1 Cl6'
_symmetry_space_group_name_H-M 'P 1'
_symmetry_Int_Tables_number 1
_cell_length_a 6.8789
_cell_length_b 6.8761
_cell_length_c 7.2788
_cell_angle_alpha 61.79
_cell_angle_beta 61.77
_cell_angle_gamma 59.98
loop_
_symmetry_equiv_pos_as_xyz
'x,y,z'
loop_
_atom_site_label
_atom_site_type_symbol
_atom_site_fract_x
_atom_site_fract_y
_atom_site_fract_z
Na1 Na 0.5281 0.5280 0.4156
Tl1 Tl 0.8178 0.8179 0.5465
Cl1 Cl 0.2178 0.9825 0.2401
Cl2 Cl 0.9824 0.5594 0.2404
Ni1 Ni 0.3251 0.3251 0.0246
Cl3 Cl 0.5594 0.2174 0.2405
Cl4 Cl 0.1180 0.4256 0.7860
Cl5 Cl 0.4254 0.6704 0.7863
Na2 Na 0.0168 0.0171 0.9492
Cl6 Cl 0.6707 0.1180 0.7861
```

For the magnetization, the calculation gives 0.12 μB per atom. The value obtained for the uncorrected formation energy is -1.08 eV/atom. As for the volume: 249.7 Å³/f.u.


11.
The following is a PBE calculation of a relaxed TmMgSi2 crystal, from the Alexandria database.

Cell and atoms, written as CIF:
```
data_TmMgSi2
_chemical_formula_sum 'Tm4 Mg4 Si8'
_symmetry_space_group_name_H-M 'P 1'
_symmetry_Int_Tables_number 1
_cell_length_a 3.7074
_cell_length_b 7.8847
_cell_length_c 10.6424
_cell_angle_alpha 90.00
_cell_angle_beta 90.00
_cell_angle_gamma 90.00
loop_
_symmetry_equiv_pos_as_xyz
'x,y,z'
loop_
_atom_site_label
_atom_site_type_symbol
_atom_site_fract_x
_atom_site_fract_y
_atom_site_fract_z
Si1 Si 0.7500 0.8384 0.8168
Si2 Si 0.7500 0.2423 0.0533
Si3 Si 0.2500 0.2577 0.5533
Si4 Si 0.7500 0.7423 0.4467
Tm1 Tm 0.7500 0.8706 0.1476
Si5 Si 0.7500 0.3384 0.6832
Si6 Si 0.2500 0.1616 0.1832
Si7 Si 0.2500 0.6616 0.3168
Si8 Si 0.2500 0.7577 0.9467
Mg1 Mg 0.2500 0.4948 0.1083
Tm2 Tm 0.2500 0.1294 0.8524
Tm3 Tm 0.2500 0.6294 0.6476
Mg2 Mg 0.7500 0.0052 0.6083
Mg3 Mg 0.2500 0.9948 0.3917
Tm4 Tm 0.7500 0.3706 0.3524
Mg4 Mg 0.7500 0.5052 0.8917
```

The calculation puts the energy above the most stable polymorph in this dataset at 0.000 eV/f.u. For the magnetization, the calculation gives 0.00 μB per atom. The value obtained for the uncorrected formation energy is -0.39 eV/atom. As for the volume: 77.8 Å³/f.u.


12.
The following is a PBE calculation of a relaxed ZrMnI2N crystal, from the Alexandria database.

Cell and atoms, written as CIF:
```
data_ZrMnI2N
_chemical_formula_sum 'Zr1 Mn1 I2 N1'
_symmetry_space_group_name_H-M 'P 1'
_symmetry_Int_Tables_number 1
_cell_length_a 6.0018
_cell_length_b 6.0018
_cell_length_c 4.0174
_cell_angle_alpha 90.00
_cell_angle_beta 90.00
_cell_angle_gamma 90.00
loop_
_symmetry_equiv_pos_as_xyz
'x,y,z'
loop_
_atom_site_label
_atom_site_type_symbol
_atom_site_fract_x
_atom_site_fract_y
_atom_site_fract_z
I1 I 0.5000 0.0000 0.0000
Zr1 Zr 0.0000 0.0000 0.0000
N1 N 0.0000 0.0000 0.5000
Mn1 Mn 0.5000 0.5000 0.5000
I2 I 0.0000 0.5000 0.0000
```

The calculation puts the energy above the most stable polymorph in this dataset at 0.000 eV/f.u. For the magnetization, the calculation gives 1.12 μB per atom. The value obtained for the uncorrected formation energy is 0.14 eV/atom. As for the volume: 144.7 Å³/f.u.